First-principles (GGA-PBE) data for crystalline MnIr8Rh2 at its relaxed geometry, as listed in the Alexandria database.

The spin magnetization comes out at 1.6 μB/f.u. The energy of formation is -63 meV/atom. As for the crystal system: monoclinic.

The space group is C2/m (No. 12) and the conventional cell measures 13.885, 3.844 and 6.089 Å, with angles of 90.00, 105.22 and 90.00 degrees. The asymmetric unit holds Mn at (0.000, 0.000, 0.000), Ir at (0.044, 0.500, 0.731), Ir at (0.090, 0.000, 0.452), Ir at (0.134, 0.500, 0.178), Ir at (0.180, 0.000, 0.908) and Rh at (0.227, 0.500, 0.638).


First-principles (GGA-PBE) data for crystalline Np2GaSn at its relaxed geometry, as listed in the Alexandria database.

The spin magnetization comes out at 0.4 μB/f.u. The energy of formation is 200 meV/atom. As for the crystal system: tetragonal.

The space group is P4/mmm (No. 123) and the conventional cell measures 3.836, 3.836 and 5.137 Å, with angles of 90.00, 90.00 and 90.00 degrees. The asymmetric unit holds Np at (0.000, 0.500, 0.000), Ga at (0.000, 0.000, 0.500) and Sn at (0.500, 0.500, 0.500).